{
  "formula": "Co2IrPbO8",
  "functional": "PBE with a Hubbard U",
  "state": "relaxed",
  "m_tot_mub_per_atom": 0.00,
  "e_tot_ev_per_atom": -5.903,
  "cell": [[4.497, 0.000, 0.000], [0.000, 6.318, 0.000], [-0.013, 0.000, 4.558]],
  "species": ["Co", "Co", "Ir", "Pb", "O", "O", "O", "O", "O", "O", "O", "O"],
  "frac_coords": [[0.000, 0.244, 0.000], [0.000, 0.756, 0.000], [0.500, 0.000, 0.500], [0.500, 0.500, 0.500], [0.183, 0.500, 0.156], [0.203, 0.000, 0.190], [0.284, 0.227, 0.697], [0.284, 0.773, 0.697], [0.716, 0.227, 0.303], [0.716, 0.773, 0.303], [0.797, 0.000, 0.810], [0.817, 0.500, 0.844]]
}